Entry 1:
Below is a geometry-optimized Ce2HoThBi4 structure, with properties calculated at the PBE level.

Cell: 4.563 7.960 7.882 Å, 70.63 90.00 90.00°
Sites, in units of the cell vectors:
1 Ce 0.000 0.000 0.000
2 Ce 0.500 0.000 0.500
3 Ho 0.500 0.500 0.000
4 Th 0.000 0.500 0.500
5 Bi 0.000 0.744 0.756
6 Bi 0.000 0.256 0.244
7 Bi 0.500 0.747 0.246
8 Bi 0.500 0.253 0.754

Results
* E: -5.680 eV per atom
* ΔH_f (0 K): -756 meV/atom
* D(E_F): 2.03 states/eV per atom
* magnetization: 2.01 Bohr magnetons per cell

=====

Entry 2:
Below is a geometry-optimized CeHo2ThBi4 structure, with properties calculated at the PBE level.

Cell: 4.538 7.830 7.858 Å, 70.50 90.00 90.00°
Sites, in units of the cell vectors:
1 Ce 0.500 0.500 0.000
2 Ho 0.000 0.000 0.000
3 Ho 0.500 0.000 0.500
4 Th 0.000 0.500 0.500
5 Bi 0.000 0.759 0.747
6 Bi 0.000 0.241 0.253
7 Bi 0.500 0.760 0.246
8 Bi 0.500 0.240 0.754

Results
* E: -5.521 eV per atom
* ΔH_f (0 K): -767 meV/atom
* D(E_F): 1.13 states/eV per atom
* magnetization: 0.99 Bohr magnetons per cell

=====

Entry 3:
Below is a geometry-optimized Ce2HoThBi5 structure, with properties calculated at the PBE level.

Cell: 5.765 5.765 11.872 Å, 90.00 90.00 90.00°
Sites, in units of the cell vectors:
1 Ce 0.500 0.500 0.286
2 Ce 0.500 0.500 0.714
3 Ho 0.000 0.000 0.000
4 Th 0.000 0.000 0.500
5 Bi 0.000 0.500 0.500
6 Bi 0.500 0.000 0.500
7 Bi 0.000 0.000 0.758
8 Bi 0.000 0.000 0.242
9 Bi 0.500 0.500 0.000

Results
* E: -4.723 eV per atom
* ΔH_f (0 K): 85 meV/atom
* D(E_F): 2.51 states/eV per atom
* magnetization: 2.21 Bohr magnetons per cell

=====

Entry 4:
Below is a geometry-optimized CeHoTlBi structure, with properties calculated at the PBE level.

Cell: 5.480 5.480 5.480 Å, 60.00 60.00 60.00°
Sites, in units of the cell vectors:
1 Tl 0.500 0.500 0.500
2 Bi 0.000 0.000 0.000
3 Ce 0.250 0.250 0.250
4 Ho 0.750 0.750 0.750

Results
* E: -4.574 eV per atom
* ΔH_f (0 K): -385 meV/atom
* D(E_F): 2.28 states/eV per atom
* magnetization: 1.68 Bohr magnetons per cell

=====

Entry 5:
Below is a geometry-optimized Ce2HoTm3Bi6 structure, with properties calculated at the PBE level.

Cell: 4.503 8.981 10.042 Å, 102.81 102.96 90.00°
Sites, in units of the cell vectors:
1 Ce 0.834 0.669 0.669
2 Ce 0.166 0.331 0.331
3 Ho 0.500 0.000 0.000
4 Tm 0.500 0.500 0.000
5 Tm 0.832 0.166 0.665
6 Tm 0.168 0.834 0.335
7 Bi 0.333 0.924 0.667
8 Bi 0.665 0.589 0.329
9 Bi 0.667 0.076 0.333
10 Bi 0.997 0.250 0.994
11 Bi 0.003 0.750 0.006
12 Bi 0.335 0.411 0.671

Results
* E: -5.222 eV per atom
* ΔH_f (0 K): -793 meV/atom
* D(E_F): 1.12 states/eV per atom
* magnetization: 1.63 Bohr magnetons per cell

=====

Entry 6:
Below is a geometry-optimized Ce2Ho3TmBi6 structure, with properties calculated at the PBE level.

Cell: 4.511 9.003 10.065 Å, 102.90 102.95 90.00°
Sites, in units of the cell vectors:
1 Ce 0.835 0.669 0.669
2 Ce 0.165 0.331 0.331
3 Ho 0.500 0.500 0.000
4 Ho 0.832 0.166 0.664
5 Ho 0.168 0.834 0.336
6 Tm 0.500 0.000 0.000
7 Bi 0.334 0.923 0.669
8 Bi 0.665 0.587 0.330
9 Bi 0.666 0.077 0.331
10 Bi 0.997 0.247 0.995
11 Bi 0.003 0.753 0.005
12 Bi 0.335 0.413 0.670

Results
* E: -5.257 eV per atom
* ΔH_f (0 K): -811 meV/atom
* D(E_F): 1.11 states/eV per atom
* magnetization: 1.61 Bohr magnetons per cell

=====

Entry 7:
Below is a geometry-optimized Ce2Y3HoBi6 structure, with properties calculated at the PBE level.

Cell: 7.833 7.833 7.828 Å, 99.61 99.61 120.00°
Sites, in units of the cell vectors:
1 Ce 0.334 0.666 0.000
2 Ce 0.666 0.334 0.000
3 Y 0.169 0.831 0.500
4 Y 0.831 0.169 0.500
5 Y 0.500 0.500 0.500
6 Ho 0.000 0.000 0.000
7 Bi 0.916 0.587 0.747
8 Bi 0.756 0.756 0.255
9 Bi 0.084 0.413 0.253
10 Bi 0.587 0.916 0.747
11 Bi 0.244 0.244 0.745
12 Bi 0.413 0.084 0.253

Results
* E: -5.780 eV per atom
* ΔH_f (0 K): -853 meV/atom
* D(E_F): 1.12 states/eV per atom
* magnetization: 1.65 Bohr magnetons per cell

=====

Entry 8:
Below is a geometry-optimized Ce3Y2HoBi6 structure, with properties calculated at the PBE level.

Cell: 7.870 7.870 7.857 Å, 99.61 99.61 120.00°
Sites, in units of the cell vectors:
1 Ce 0.167 0.833 0.500
2 Ce 0.833 0.167 0.500
3 Ce 0.500 0.500 0.500
4 Y 0.334 0.666 0.000
5 Y 0.666 0.334 0.000
6 Ho 0.000 0.000 0.000
7 Bi 0.919 0.587 0.757
8 Bi 0.749 0.749 0.244
9 Bi 0.081 0.413 0.243
10 Bi 0.587 0.919 0.757
11 Bi 0.251 0.251 0.756
12 Bi 0.413 0.081 0.243

Results
* E: -5.719 eV per atom
* ΔH_f (0 K): -837 meV/atom
* D(E_F): 1.71 states/eV per atom
* magnetization: 2.62 Bohr magnetons per cell